A relaxed NiSO2F crystal, computed with PBE with a Hubbard U.

a = 3.410 Å, b = 3.410 Å, c = 5.737 Å
α = 90.00°, β = 90.00°, γ = 90.00°
Sites, in units of the cell vectors:
Ni 0.000 0.000 0.000
S 0.500 0.500 0.500
O 0.000 0.500 0.500
O 0.500 0.000 0.500
F 0.500 0.500 0.000

Properties
* E: -19.2 eV for the cell shown
* volume: 66.7 Å³ per cell
* space-group type: No. 123
* magnetic moment: 1.1 μB/f.u.